Record 1
VASP calculation (PBE) on a relaxed structure of HoU2NbN4.

V: 13.411 Å³/atom
symmetry: No. 10
D(E_F): 9.16 states/eV per cell
total magnetization: 0.3176 μB/atom
formation energy (no corrections): -1.36 eV/atom

Cell: 5.7994 3.3780 5.8101 Å, 90.00 109.50 90.00°
Positions (direct):
Ho 0.0000 0.0000 0.0000
U 0.5000 0.0000 0.5000
U 0.5000 0.5000 0.0000
Nb 0.0000 0.5000 0.5000
N 0.2416 0.0000 0.7372
N 0.2488 0.5000 0.2602
N 0.7512 0.5000 0.7398
N 0.7584 0.0000 0.2628

---

Record 2
VASP calculation (PBE) on a relaxed structure of Y2HoNbN4.

V: 13.463 Å³/atom
symmetry: No. 10
D(E_F): 2.18 states/eV per cell
total magnetization: 0.0000 μB/atom
formation energy (no corrections): -1.51 eV/atom

Cell: 5.8275 3.3549 5.8311 Å, 90.00 109.14 90.00°
Positions (direct):
Y 0.0000 0.0000 0.0000
Y 0.5000 0.5000 0.0000
Ho 0.0000 0.5000 0.5000
Nb 0.5000 0.0000 0.5000
N 0.2602 0.0000 0.7363
N 0.2660 0.5000 0.2677
N 0.7340 0.5000 0.7323
N 0.7398 0.0000 0.2637

---

Record 3
VASP calculation (PBE) on a relaxed structure of Ho3Zr3NbN8.

V: 13.615 Å³/atom
symmetry: No. 166
D(E_F): 1.73 states/eV per cell
total magnetization: 0.0000 μB/atom
formation energy (no corrections): -1.54 eV/atom

Cell: 6.6783 6.6783 6.6783 Å, 58.67 58.67 58.67°
Positions (direct):
Ho 0.0000 0.5000 0.5000
Ho 0.5000 0.0000 0.5000
Ho 0.5000 0.5000 0.0000
Zr 0.0000 0.0000 0.5000
Zr 0.0000 0.5000 0.0000
Zr 0.5000 0.0000 0.0000
Nb 0.5000 0.5000 0.5000
N 0.2454 0.2454 0.2454
N 0.2570 0.7311 0.7311
N 0.2689 0.2689 0.7430
N 0.2689 0.7430 0.2689
N 0.7311 0.2570 0.7311
N 0.7311 0.7311 0.2570
N 0.7430 0.2689 0.2689
N 0.7546 0.7546 0.7546

---

Record 4
VASP calculation (PBE) on a relaxed structure of HoZrNbN3.

V: 12.562 Å³/atom
symmetry: No. 11
D(E_F): 4.27 states/eV per cell
total magnetization: 0.0000 μB/atom
formation energy (no corrections): -1.50 eV/atom

Cell: 5.6383 3.2548 8.4200 Å, 90.00 102.70 90.00°
Positions (direct):
Ho 0.1469 0.2500 0.1896
Ho 0.8531 0.7500 0.8104
Zr 0.2672 0.7500 0.5494
Zr 0.7328 0.2500 0.4506
Nb 0.3754 0.2500 0.8685
Nb 0.6246 0.7500 0.1315
N 0.0563 0.2500 0.6630
N 0.2380 0.7500 0.9935
N 0.4568 0.7500 0.3419
N 0.5432 0.2500 0.6581
N 0.7620 0.2500 0.0065
N 0.9437 0.7500 0.3370